No. 1
A geometry-optimized AlTlB2 structure. Source: the Alexandria database, functional PBE-GGA.

The structure in extended XYZ format:
```
8
Lattice="4.174 0.000 0.000 0.000 4.174 0.000 2.087 2.087 7.019" Properties=species:S:1:pos:R:3 pbc="T T T"
Tl 0.000 0.000 0.000
Tl 4.174 2.087 3.510
B 2.605 1.044 1.755
B 1.569 3.131 1.755
B 3.131 3.656 5.265
B 5.218 4.693 5.265
Al 2.087 2.087 0.000
Al 2.087 4.174 3.510
```

Computed properties:
DOS at the Fermi energy = 0.0602 states/eV/atom
VASP energy = -3.8851 eV per atom
Energy above the lowest structure with this stoichiometry = 0 meV/atom
Formation energy from the elements = 0.981 eV/atom
Space-group type = I-42d, No. 122



No. 2
A geometry-optimized AlTl3B structure. Source: the Alexandria database, functional PBE-GGA.

The structure in extended XYZ format:
```
5
Lattice="-1.633 -2.286 4.598 -2.764 -3.675 -2.809 4.328 -3.210 -0.059" Properties=species:S:1:pos:R:3 pbc="T T T"
Tl -1.382 -1.837 -1.404
Tl 2.164 -1.605 -0.030
Tl -0.817 -1.143 2.299
B -0.035 -4.586 0.865
Al 0.000 0.000 0.000
```

Computed properties:
DOS at the Fermi energy = 1.0706 states/eV/atom
VASP energy = -2.2704 eV per atom
Energy above the lowest structure with this stoichiometry = 447 meV/atom
Formation energy from the elements = 1.233 eV/atom
Space-group type = Pm-3m, No. 221



No. 3
A geometry-optimized Al2TlB structure. Source: the Alexandria database, functional PBE-GGA.

The structure in extended XYZ format:
```
4
Lattice="0.000 3.291 3.291 3.291 0.000 3.291 3.291 3.291 0.000" Properties=species:S:1:pos:R:3 pbc="T T T"
Tl 3.291 3.291 3.291
B 0.000 0.000 0.000
Al 1.646 1.646 1.646
Al 4.937 4.937 4.937
```

Computed properties:
DOS at the Fermi energy = 0.4792 states/eV/atom
VASP energy = -3.1139 eV per atom
Energy above the lowest structure with this stoichiometry = 581 meV/atom
Formation energy from the elements = 1.018 eV/atom
Space-group type = Fm-3m, No. 225



No. 4
A geometry-optimized Al2TlB structure. Source: the Alexandria database, functional PBE-GGA.

The structure in extended XYZ format:
```
8
Lattice="-0.414 5.972 1.513 -1.920 1.316 -5.719 -5.445 3.020 -0.810" Properties=species:S:1:pos:R:3 pbc="T T T"
Tl 0.000 0.000 0.000
Tl -3.513 6.318 -0.700
B -1.167 3.644 -2.103
B -4.266 3.990 -4.316
Al -1.805 3.859 -0.173
Al -2.668 3.117 -3.387
Al -5.214 5.173 -2.945
Al -5.871 8.467 -3.529
```

Computed properties:
DOS at the Fermi energy = 0.2295 states/eV/atom
VASP energy = -3.6952 eV per atom
Energy above the lowest structure with this stoichiometry = 0 meV/atom
Formation energy from the elements = 0.437 eV/atom
Space-group type = I-42d, No. 122



No. 5
A geometry-optimized AlTl3B structure. Source: the Alexandria database, functional PBE-GGA.

The structure in extended XYZ format:
```
5
Lattice="-2.330 4.395 -0.604 -4.401 -2.376 -0.312 -0.560 0.385 4.964" Properties=species:S:1:pos:R:3 pbc="T T T"
Tl -2.200 -1.188 -0.156
Tl -0.280 0.193 2.482
Tl -1.165 2.197 -0.302
B 0.000 0.000 0.000
Al -3.645 1.202 2.024
```

Computed properties:
DOS at the Fermi energy = 0.6263 states/eV/atom
VASP energy = -2.7173 eV per atom
Energy above the lowest structure with this stoichiometry = 0 meV/atom
Formation energy from the elements = 0.787 eV/atom
Space-group type = Pm-3m, No. 221



No. 6
A geometry-optimized AlTlB2 structure. Source: the Alexandria database, functional PBE-GGA.

The structure in extended XYZ format:
```
4
Lattice="0.000 3.086 3.086 3.086 0.000 3.086 3.086 3.086 0.000" Properties=species:S:1:pos:R:3 pbc="T T T"
Tl 3.086 3.086 3.086
B 1.543 1.543 1.543
B 4.628 4.628 4.628
Al 0.000 0.000 0.000
```

Computed properties:
DOS at the Fermi energy = 0.4910 states/eV/atom
VASP energy = -3.3155 eV per atom
Energy above the lowest structure with this stoichiometry = 570 meV/atom
Formation energy from the elements = 1.550 eV/atom
Space-group type = Fm-3m, No. 225